# 1
Entry from Alexandria via LeMat-Bulk: crystalline PaBiPt2 at its relaxed geometry (PBE).

```
PaBiPt2
1.0
2.0996 1.2122 6.1951
-2.0996 1.2122 6.1951
0.0000 -2.4244 6.1951
Pa Bi Pt
1 1 2
direct
0.0000 0.0000 0.0000
0.5000 0.5000 0.5000
0.2513 0.2513 0.2513
0.7487 0.7487 0.7487
```

Computed properties:
Theoretical density: 14.57 g/cm3
Space group: R-3m
Calculated total energy: -7.006 eV/atom
ΔE_f: -640.9 meV per atom

# 2
Entry from Alexandria via LeMat-Bulk: crystalline Pa3Bi2Pt2 at its relaxed geometry (PBE).

```
Pa3Bi2Pt2
1.0
2.1121 -10.9055 0.0000
2.1121 10.9055 0.0000
0.0000 0.0000 3.7843
Pa Bi Pt
3 2 2
direct
0.0000 0.0000 0.0000
0.1734 0.8266 0.0000
0.8266 0.1734 0.0000
0.4215 0.5785 0.5000
0.5785 0.4215 0.5000
0.2904 0.7096 0.5000
0.7096 0.2904 0.5000
```

Computed properties:
Theoretical density: 14.30 g/cm3
Space group: Cmmm
Calculated total energy: -7.461 eV/atom
ΔE_f: -556.9 meV per atom

What is the formula in the second record? Pa3Bi2Pt2

Please write out number 1 again, unchanged.
Entry from Alexandria via LeMat-Bulk: crystalline PaBiPt2 at its relaxed geometry (PBE).

```
PaBiPt2
1.0
2.0996 1.2122 6.1951
-2.0996 1.2122 6.1951
0.0000 -2.4244 6.1951
Pa Bi Pt
1 1 2
direct
0.0000 0.0000 0.0000
0.5000 0.5000 0.5000
0.2513 0.2513 0.2513
0.7487 0.7487 0.7487
```

Computed properties:
Theoretical density: 14.57 g/cm3
Space group: R-3m
Calculated total energy: -7.006 eV/atom
ΔE_f: -640.9 meV per atom

What did the second record say?
Entry from Alexandria via LeMat-Bulk: crystalline Pa3Bi2Pt2 at its relaxed geometry (PBE).

```
Pa3Bi2Pt2
1.0
2.1121 -10.9055 0.0000
2.1121 10.9055 0.0000
0.0000 0.0000 3.7843
Pa Bi Pt
3 2 2
direct
0.0000 0.0000 0.0000
0.1734 0.8266 0.0000
0.8266 0.1734 0.0000
0.4215 0.5785 0.5000
0.5785 0.4215 0.5000
0.2904 0.7096 0.5000
0.7096 0.2904 0.5000
```

Computed properties:
Theoretical density: 14.30 g/cm3
Space group: Cmmm
Calculated total energy: -7.461 eV/atom
ΔE_f: -556.9 meV per atom